{"formula": "TaMoW3", "functional": "PBE-GGA", "state": "optimized geometry", "cell": [[-1.8295, -4.2459, 0.1942], [4.8141, -2.0414, 0.7197], [0.1580, 2.7637, 6.7825]], "species": ["W", "W", "W", "W", "W", "W", "Ta", "Ta", "Mo", "Mo"], "frac_coords": [[0.6962, 0.4978, 0.3925], [0.1124, 0.7500, 0.2247], [0.6962, 0.0022, 0.3925], [0.3038, 0.5022, 0.6075], [0.3038, 0.9978, 0.6075], [0.8876, 0.2500, 0.7753], [0.1000, 0.2500, 0.2000], [0.9000, 0.7500, 0.8000], [0.5050, 0.7500, 0.0100], [0.4950, 0.2500, 0.9900]], "sg": "Cmcm, No. 63", "de_polymorph_ev_per_atom": 0.000}

---

{"formula": "TaMo3W3", "functional": "PBE-GGA", "state": "optimized geometry", "cell": [[-1.3978, -3.8111, -2.7908], [6.4597, 0.2946, -3.6377], [-0.6480, -4.2104, 6.0745]], "species": ["Mo", "Mo", "Mo", "Mo", "Mo", "Mo", "Ta", "Ta", "W", "W", "W", "W", "W", "W"], "frac_coords": [[0.2500, 0.8182, 0.7764], [0.2500, 0.9581, 0.1818], [0.7500, 0.7764, 0.9581], [0.2500, 0.2236, 0.0419], [0.7500, 0.0419, 0.8182], [0.7500, 0.1818, 0.2236], [0.7500, 0.3333, 0.6667], [0.2500, 0.6667, 0.3333], [0.2500, 0.5028, 0.9091], [0.2500, 0.0909, 0.5937], [0.7500, 0.4972, 0.0909], [0.2500, 0.4063, 0.4972], [0.7500, 0.5937, 0.5028], [0.7500, 0.9091, 0.4063]], "sg": "P6_3/m, No. 176", "de_polymorph_ev_per_atom": 0.000}

---

{"formula": "Ta2Mo6W", "functional": "PBE-GGA", "state": "optimized geometry", "cell": [[4.3111, 0.0000, 1.3171], [0.7680, 8.6452, 5.2007], [0.5044, 3.4263, 6.0633]], "species": ["W", "Mo", "Mo", "Mo", "Mo", "Mo", "Mo", "Ta", "Ta"], "frac_coords": [[0.5000, 0.5000, 0.5000], [0.0547, 0.2784, 0.6122], [0.9453, 0.7216, 0.3878], [0.2774, 0.3834, 0.0618], [0.8336, 0.1714, 0.1613], [0.1664, 0.8286, 0.8387], [0.7226, 0.6166, 0.9382], [0.3871, 0.9407, 0.2852], [0.6129, 0.0593, 0.7148]], "sg": "C2/m, No. 12", "de_polymorph_ev_per_atom": 0.000}

---

{"formula": "Ta4Mo5W", "functional": "PBE-GGA", "state": "optimized geometry", "cell": [[3.2173, 0.0000, 0.0000], [0.0000, 3.2173, 0.0000], [0.0000, 0.0000, 16.0895]], "species": ["Mo", "Mo", "Mo", "Mo", "Mo", "W", "Ta", "Ta", "Ta", "Ta"], "frac_coords": [[0.5000, 0.5000, 0.0969], [0.5000, 0.5000, 0.2984], [0.5000, 0.5000, 0.9031], [0.5000, 0.5000, 0.7016], [0.5000, 0.5000, 0.5000], [0.0000, 0.0000, 0.0000], [0.0000, 0.0000, 0.8012], [0.0000, 0.0000, 0.6006], [0.0000, 0.0000, 0.3994], [0.0000, 0.0000, 0.1988]], "sg": "P4/mmm, No. 123"}

---

{"formula": "TaMo8W6", "functional": "PBE-GGA", "state": "optimized geometry", "cell": [[-2.3680, -1.7039, -0.2335], [2.6018, -4.7827, 8.5151], [-5.9246, 8.1784, 0.4056]], "species": ["Ta", "Mo", "Mo", "Mo", "Mo", "Mo", "Mo", "Mo", "Mo", "W", "W", "W", "W", "W", "W"], "frac_coords": [[0.5000, 0.0000, 0.0000], [0.8587, 0.6667, 0.3333], [0.8464, 0.2041, 0.2874], [0.1536, 0.7959, 0.7126], [0.8464, 0.7126, 0.9167], [0.1413, 0.3333, 0.6667], [0.8464, 0.0833, 0.7959], [0.1536, 0.9167, 0.2041], [0.1536, 0.2874, 0.0833], [0.3585, 0.4704, 0.3686], [0.6415, 0.5296, 0.6314], [0.6415, 0.3686, 0.8982], [0.6415, 0.1018, 0.4704], [0.3585, 0.8982, 0.5296], [0.3585, 0.6314, 0.1018]], "sg": "P-3, No. 147", "de_polymorph_ev_per_atom": 0.298}

---

{"formula": "TaMo8W6", "functional": "PBE-GGA", "state": "optimized geometry", "cell": [[6.1648, 0.0000, 3.5431], [2.0642, 5.8089, 3.5431], [0.0205, 0.0145, 7.0991]], "species": ["W", "W", "W", "W", "W", "W", "Mo", "Mo", "Mo", "Mo", "Mo", "Mo", "Mo", "Mo", "Ta"], "frac_coords": [[0.3798, 0.6180, 0.8675], [0.6180, 0.1347, 0.8675], [0.8653, 0.6202, 0.1325], [0.6202, 0.3820, 0.1325], [0.3820, 0.8653, 0.1325], [0.1347, 0.3798, 0.8675], [0.8692, 0.3823, 0.6192], [0.3823, 0.1293, 0.6192], [0.7505, 0.7505, 0.7484], [0.1308, 0.6177, 0.3808], [0.1293, 0.8692, 0.6192], [0.2495, 0.2495, 0.2516], [0.6177, 0.8707, 0.3808], [0.8707, 0.1308, 0.3808], [0.0000, 0.0000, 0.0000]], "sg": "R-3, No. 148", "de_polymorph_ev_per_atom": 0.000}

---

Number 1: spin magnetization 0.00 μB per cell, E_form 390 meV per atom. Number 2: spin magnetization 0.00 μB per cell, E_form 411 meV per atom. Number 3: spin magnetization 0.00 μB per cell, E_form -109 meV per atom. Number 4: spin magnetization 0.00 μB per cell, E_form -185 meV per atom. Number 5: spin magnetization 0.00 μB per cell, E_form 574 meV per atom. Number 6: spin magnetization 0.00 μB per cell, E_form 277 meV per atom.